Below is crystalline Pr5YGa4 at its relaxed geometry, with properties calculated at the GGA-PBE level.

## Properties
As for the uncorrected energy: -90.09 eV/cell. As for the space-group type: Pmmn, No. 59. The formation energy is -249 kJ/mol of formula units.

Cell: 8.433 7.985 8.836 Å, 90.00 90.00 90.00°
Fractional coordinates of all 20 atoms:
Ga 0.986 0.500 0.154
Ga 0.565 0.152 0.000
Ga 0.435 0.348 0.500
Ga 0.986 0.500 0.846
Ga 0.435 0.652 0.500
Ga 0.014 0.000 0.346
Ga 0.565 0.848 0.000
Ga 0.014 0.000 0.654
Pr 0.649 0.500 0.000
Pr 0.732 0.247 0.695
Pr 0.351 0.000 0.500
Pr 0.268 0.253 0.805
Pr 0.732 0.753 0.695
Pr 0.732 0.753 0.305
Pr 0.268 0.253 0.195
Pr 0.268 0.747 0.195
Pr 0.732 0.247 0.305
Pr 0.268 0.747 0.805
Y 0.081 0.500 0.500
Y 0.919 0.000 0.000